(1)
This record from the Alexandria database describes crystalline ZnHSe2N at its relaxed geometry. The functional is PBE.

E above lowest polymorph: 0 meV per atom
VASP energy: -3.0883 eV/atom

Cell lengths 5.1055, 5.1055, 2.6702 Å; angles 90.00, 90.00, 90.00 degrees
Space group P4/mmm (No. 123)
One atom of each set of equivalent atoms:
Zn (0.0000, 0.0000, 0.0000) x1
H (0.5000, 0.5000, 0.5000) x1
Se (0.0000, 0.5000, 0.5000) x2
N (0.5000, 0.5000, 0.0000) x1


(2)
This record from the Alexandria database describes crystalline LaCdIr at its relaxed geometry. The functional is PBE.

VASP energy: -5.2014 eV/atom

Cell lengths 3.4617, 3.4617, 11.9165 Å; angles 90.00, 90.00, 90.00 degrees
Space group I4mm (No. 107)
One atom of each set of equivalent atoms:
La (0.0000, 0.0000, 0.0000) x2
Cd (0.0000, 0.0000, 0.2769) x2
Ir (0.0000, 0.0000, 0.6407) x2


(3)
This record from the Alexandria database describes crystalline HfBi2H at its relaxed geometry. The functional is PBE.

E above lowest polymorph: 0 meV per atom
VASP energy: -5.5285 eV/atom

Cell lengths 5.9806, 3.4518, 9.0745 Å; angles 90.00, 102.23, 90.00 degrees
Space group Cm (No. 8)
One atom of each set of equivalent atoms:
Hf (0.0000, 0.0000, 0.0000) x2
Bi (0.0764, 0.5000, 0.7184) x2
Bi (0.2567, 0.5000, 0.2809) x2
H (0.3331, 0.0000, 0.9991) x2


(4)
This record from the Alexandria database describes crystalline SbOsPb2 at its relaxed geometry. The functional is PBE.

E_form (uncorrected): 3.465 eV per formula unit
VASP energy: -4.8260 eV/atom

Cell lengths 4.5265, 4.5265, 9.3298 Å; angles 90.00, 90.00, 90.00 degrees
Space group I4/mmm (No. 139)
One atom of each set of equivalent atoms:
Sb (0.0000, 0.0000, 0.0000) x2
Os (0.0000, 0.0000, 0.5000) x2
Pb (0.0000, 0.5000, 0.2500) x4


(5)
This record from the Alexandria database describes crystalline CsLaTcSb at its relaxed geometry. The functional is PBE.

E above lowest polymorph: 37 meV per atom
E_form (uncorrected): -0.023 eV per formula unit
VASP energy: -5.0730 eV/atom

Cell lengths 7.3856, 4.8422, 9.3067 Å; angles 90.00, 93.97, 90.00 degrees
Space group Cm (No. 8)
One atom of each set of equivalent atoms:
Cs (0.0000, 0.0000, 0.0000) x2
La (0.1604, 0.5000, 0.4525) x2
Tc (0.4297, 0.5000, 0.6119) x2
Sb (0.2935, 0.0000, 0.6777) x2


(6)
This record from the Alexandria database describes crystalline Sr6Ni2Hg at its relaxed geometry. The functional is PBE.

VASP energy: -2.5578 eV/atom

Cell lengths 10.4718, 10.8217, 11.2595 Å; angles 90.00, 90.00, 90.00 degrees
Space group Immm (No. 71)
One atom of each set of equivalent atoms:
Sr (0.0000, 0.2030, 0.2197) x8
Sr (0.1919, 0.5000, 0.1766) x8
Sr (0.2032, 0.3202, 0.5000) x8
Ni (0.0000, 0.3904, 0.0000) x4
Ni (0.0000, 0.5000, 0.3956) x4
Hg (0.0000, 0.0000, 0.0000) x2
Hg (0.0000, 0.0000, 0.5000) x2


Q: Among the records above, which one has the highest VASP energy?
A: Sr6Ni2Hg


Copy entry 1 word for word.
This record from the Alexandria database describes crystalline ZnHSe2N at its relaxed geometry. The functional is PBE.

E above lowest polymorph: 0 meV per atom
VASP energy: -3.0883 eV/atom

Cell lengths 5.1055, 5.1055, 2.6702 Å; angles 90.00, 90.00, 90.00 degrees
Space group P4/mmm (No. 123)
One atom of each set of equivalent atoms:
Zn (0.0000, 0.0000, 0.0000) x1
H (0.5000, 0.5000, 0.5000) x1
Se (0.0000, 0.5000, 0.5000) x2
N (0.5000, 0.5000, 0.0000) x1